B3C: relaxed, PBE.

E in eV/f.u.: -27.4
Energy above the lowest structure with this stoichiometry in meV/atom: 230
DFT formation energy in kcal/mol of atoms: 10.86

Unit cell a=2.649 b=4.191 c=8.608 alpha=87.81 beta=90.00 gamma=90.00
Atoms (fractional coordinates):
B 0.500 0.550 0.192
B 0.000 0.339 0.111
B 0.000 0.022 0.005
B 0.500 0.744 0.971
B 0.500 0.511 0.503
B 0.000 0.218 0.506
B 0.000 0.902 0.383
B 0.000 0.356 0.874
B 0.000 0.878 0.623
C 0.500 0.743 0.338
C 0.500 0.519 0.821
C 0.500 0.718 0.672